## w
## Hg3CSe (PBE-GGA)

Data for a relaxed structure of Hg3CSe.

a b c (Å): 5.590 5.590 5.590
angles (deg): 90.00 90.00 90.00
Atoms (fractional coordinates):
Hg: 0.500 0.000 0.000
Se: 0.000 0.000 0.000
Hg: 0.000 0.500 0.000
Hg: 0.000 0.000 0.500
C: 0.500 0.500 0.500

## Properties
Its space group is Pm-3m, No. 221.

---

## x
## Hg3CSe (PBE-GGA)

Data for a relaxed structure of Hg3CSe.

a b c (Å): 4.712 4.712 4.712
angles (deg): 90.00 90.00 90.00
Atoms (fractional coordinates):
Hg: 0.000 0.000 0.500
Hg: 0.000 0.500 0.000
Hg: 0.500 0.000 0.000
C: 0.000 0.000 0.000
Se: 0.500 0.500 0.500

## Properties
Its space group is Pm-3m, No. 221.

---

x is the most stable structure; the next one sits 648 meV/atom above it.

---

## w
## HgCSe2 (PBE-GGA)

Data for a relaxed structure of HgCSe2.

a b c (Å): 6.613 6.613 6.091
angles (deg): 57.12 57.12 90.00
Atoms (fractional coordinates):
C: 0.250 0.750 0.500
Se: 0.375 0.499 0.750
C: 0.500 0.500 0.000
Se: 0.501 0.125 0.250
Hg: 0.000 0.000 0.000
Se: 0.875 0.751 0.750
Se: 0.249 0.625 0.250
Hg: 0.750 0.250 0.500

## Properties
Its space group is I-42d, No. 122.

---

## x
## HgCSe2 (PBE-GGA)

Data for a relaxed structure of HgCSe2.

a b c (Å): 9.811 9.811 9.811
angles (deg): 18.41 18.41 18.41
Atoms (fractional coordinates):
Hg: 0.000 0.000 0.000
C: 0.500 0.500 0.500
Se: 0.881 0.881 0.881
Se: 0.119 0.119 0.119

## Properties
Its space group is R-3m, No. 166.

---

w is the most stable structure; the next one sits 235 meV/atom above it.

---

## w
## HgCSe2 (PBE-GGA)

Data for a relaxed structure of HgCSe2.

a b c (Å): 4.728 4.728 4.728
angles (deg): 60.00 60.00 60.00
Atoms (fractional coordinates):
Hg: 0.500 0.500 0.500
Se: 0.250 0.250 0.250
C: 0.000 0.000 0.000
Se: 0.750 0.750 0.750

## Properties
Its space group is Fm-3m, No. 225.

---

## x
## HgCSe2 (PBE-GGA)

Data for a relaxed structure of HgCSe2.

a b c (Å): 6.512 6.512 6.512
angles (deg): 62.68 62.68 62.68
Atoms (fractional coordinates):
Se: 0.891 0.891 0.891
Se: 0.109 0.109 0.109
C: 0.000 0.000 0.000
Hg: 0.500 0.500 0.500

## Properties
Its space group is R-3m, No. 166.

---

x is the most stable structure; the next one sits 1190 meV/atom above it.

---

## w
## SiHg2C2 (PBE-GGA)

Data for a relaxed structure of SiHg2C2.

a b c (Å): 5.357 5.357 5.793
angles (deg): 90.00 90.00 90.00
Atoms (fractional coordinates):
C: 0.754 0.254 0.000
Si: 0.500 0.500 0.000
Hg: 0.812 0.312 0.500
C: 0.246 0.746 0.000
C: 0.746 0.754 0.000
Si: 0.000 0.000 0.000
Hg: 0.312 0.188 0.500
C: 0.254 0.246 0.000
Hg: 0.188 0.688 0.500
Hg: 0.688 0.812 0.500

## Properties
Its space group is P4/mbm, No. 127.

---

## x
## SiHg2C2 (PBE-GGA)

Data for a relaxed structure of SiHg2C2.

a b c (Å): 4.412 4.412 5.439
angles (deg): 66.07 66.07 90.00
Atoms (fractional coordinates):
Hg: 0.750 0.250 0.500
Hg: 0.250 0.750 0.500
C: 0.574 0.574 0.852
C: 0.426 0.426 0.148
Si: 0.000 0.000 0.000

## Properties
Its space group is I4/mmm, No. 139.

---

w is the most stable structure; the next one sits 131 meV/atom above it.

---

## w
## SiHgC2 (PBE-GGA)

Data for a relaxed structure of SiHgC2.

a b c (Å): 4.932 4.932 5.662
angles (deg): 64.18 64.18 90.00
Atoms (fractional coordinates):
Si: 0.250 0.750 0.500
Hg: 0.750 0.250 0.500
C: 0.552 0.125 0.250
Si: 0.500 0.500 0.000
Hg: 0.000 0.000 0.000
C: 0.198 0.625 0.250
C: 0.375 0.448 0.750
C: 0.875 0.802 0.750

## Properties
Its space group is I-42d, No. 122.

---

## x
## SiHgC2 (PBE-GGA)

Data for a relaxed structure of SiHgC2.

a b c (Å): 4.146 4.146 4.146
angles (deg): 60.00 60.00 60.00
Atoms (fractional coordinates):
Si: 0.000 0.000 0.000
C: 0.250 0.250 0.250
C: 0.750 0.750 0.750
Hg: 0.500 0.500 0.500

## Properties
Its space group is Fm-3m, No. 225.

---

w is the most stable structure; the next one sits 1471 meV/atom above it.

---

## w
## SiHg3C (PBE-GGA)

Data for a relaxed structure of SiHg3C.

a b c (Å): 4.728 4.728 4.728
angles (deg): 90.00 90.00 90.00
Atoms (fractional coordinates):
Hg: 0.000 0.500 0.000
Hg: 0.000 0.000 0.500
C: 0.000 0.000 0.000
Hg: 0.500 0.000 0.000
Si: 0.500 0.500 0.500

## Properties
Its space group is Pm-3m, No. 221.

---

## x
## SiHg3C (PBE-GGA)

Data for a relaxed structure of SiHg3C.

a b c (Å): 5.175 5.175 5.175
angles (deg): 90.00 90.00 90.00
Atoms (fractional coordinates):
Hg: 0.000 0.500 0.000
C: 0.500 0.500 0.500
Hg: 0.500 0.000 0.000
Si: 0.000 0.000 0.000
Hg: 0.000 0.000 0.500

## Properties
Its space group is Pm-3m, No. 221.

---

w is the most stable structure; the next one sits 192 meV/atom above it.